Record 1
HgI | PBE | relaxed

Unit cell a=4.477 b=14.400 c=7.400 alpha=90.00 beta=90.00 gamma=90.00
Space group Pmmn (No. 59, origin choice 2)
Asymmetric unit:
Hg1 0.250 0.156 0.153
Hg2 0.250 0.750 0.108
I1 0.250 0.250 0.598
I2 0.250 0.522 0.253

DFT total energy = -1.01 eV/atom
Offset from the most stable computed form = 156 meV/atom

Record 2
TlIn3 | PBE | relaxed

Unit cell a=3.4102 b=3.4102 c=11.2272 alpha=90.00 beta=90.00 gamma=120.00
Space group P-6m2 (No. 187)
Asymmetric unit:
Tl1 0.0000 0.0000 0.0000
In1 0.0000 0.0000 0.5000
In2 0.3333 0.6667 0.2568

DFT total energy = -2.63 eV/atom
E_form = 0.0 eV per formula unit

Record 3
Er11Cd9Ag4 | PBE | relaxed

Unit cell a=14.626 b=21.869 c=3.708 alpha=90.00 beta=90.00 gamma=90.00
Space group Cmmm (No. 65)
Asymmetric unit:
Er1 0.000 0.000 0.000
Er2 0.000 0.164 0.000
Er3 0.000 0.358 0.000
Er4 0.218 0.500 0.000
Er5 0.243 0.172 0.000
Cd1 0.000 0.500 0.500
Cd2 0.109 0.259 0.500
Cd3 0.135 0.076 0.500
Ag1 0.147 0.403 0.500

DFT total energy = -3.22 eV/atom
E_form = -7.4 eV per formula unit

Record 4
Ba4PSCl2 | PBE | relaxed

Unit cell a=7.953 b=4.606 c=7.990 alpha=90.00 beta=109.45 gamma=90.00
Space group P2/m (No. 10)
Asymmetric unit:
Ba1 0.240 0.000 0.228
Ba2 0.254 0.500 0.773
P1 0.000 0.500 0.000
S1 0.500 0.000 0.000
Cl1 0.000 0.000 0.500
Cl2 0.500 0.500 0.500

DFT total energy = -4.45 eV/atom

Record 5
Ta2InRh | PBE | relaxed

Unit cell a=3.893 b=3.893 c=20.168 alpha=90.00 beta=90.00 gamma=90.00
Space group I-42d (No. 122)
Asymmetric unit:
Ta1 0.248 0.250 0.125
In1 0.000 0.000 0.000
Rh1 0.000 0.000 0.500

DFT total energy = -8.02 eV/atom
E_form = 1.7 eV per formula unit

Record 6
GeBi2Pt | PBE | relaxed

Unit cell a=3.2652 b=3.2652 c=32.6686 alpha=90.00 beta=90.00 gamma=120.00
Space group R-3m (No. 166, hexagonal axes)
Asymmetric unit:
Ge1 0.0000 0.0000 0.0000
Bi1 0.0000 0.0000 0.4169
Pt1 0.0000 0.0000 0.5000

DFT total energy = -4.21 eV/atom
E_form = 1.6 eV per formula unit